Record 1
{
  "formula": "SrCa2Ir",
  "functional": "PBE-GGA",
  "state": "optimized geometry",
  "cell": [[2.159, -6.174, 0.000], [2.159, 6.174, 0.000], [0.000, 0.000, 9.342]],
  "species": ["Sr", "Sr", "Ca", "Ca", "Ca", "Ca", "Ir", "Ir"],
  "frac_coords": [[0.070, 0.930, 0.750], [0.930, 0.070, 0.250], [0.343, 0.657, 0.567], [0.343, 0.657, 0.933], [0.657, 0.343, 0.067], [0.657, 0.343, 0.433], [0.246, 0.754, 0.250], [0.754, 0.246, 0.750]],
  "polymorph_energy_ev_per_atom": 0.000,
  "vol_a3_per_atom": 31.12,
  "formation_energy_ev_per_atom": -0.270,
  "final_energy_ev_per_atom": -3.907
}


Record 2
{
  "formula": "SrCaIr2",
  "functional": "PBE-GGA",
  "state": "optimized geometry",
  "cell": [[3.201, 0.000, 0.000], [0.000, 3.201, 0.000], [0.000, 0.000, 8.258]],
  "species": ["Sr", "Ca", "Ir", "Ir"],
  "frac_coords": [[0.000, 0.000, 0.000], [0.000, 0.000, 0.500], [0.500, 0.500, 0.262], [0.500, 0.500, 0.738]],
  "polymorph_energy_ev_per_atom": 0.386,
  "vol_a3_per_atom": 21.15,
  "formation_energy_ev_per_atom": 0.095,
  "final_energy_ev_per_atom": -5.256
}


Record 3
{
  "formula": "SrCaIr2",
  "functional": "PBE-GGA",
  "state": "optimized geometry",
  "cell": [[-4.010, 4.010, 2.779], [4.010, -4.010, 2.779], [4.010, 4.010, -2.779]],
  "species": ["Sr", "Sr", "Ca", "Ca", "Ir", "Ir", "Ir", "Ir"],
  "frac_coords": [[0.000, 0.000, 0.000], [0.750, 0.250, 0.500], [0.250, 0.750, 0.500], [0.500, 0.500, 0.000], [0.135, 0.625, 0.010], [0.375, 0.385, 0.510], [0.615, 0.125, 0.990], [0.875, 0.865, 0.490]],
  "polymorph_energy_ev_per_atom": 0.640,
  "vol_a3_per_atom": 22.35,
  "formation_energy_ev_per_atom": 0.350,
  "final_energy_ev_per_atom": -5.002
}


Record 4
{
  "formula": "SrCaIr2",
  "functional": "PBE-GGA",
  "state": "optimized geometry",
  "cell": [[0.000, 3.514, 3.514], [3.514, 0.000, 3.514], [3.514, 3.514, 0.000]],
  "species": ["Sr", "Ca", "Ir", "Ir"],
  "frac_coords": [[0.000, 0.000, 0.000], [0.500, 0.500, 0.500], [0.250, 0.250, 0.250], [0.750, 0.750, 0.750]],
  "polymorph_energy_ev_per_atom": 0.435,
  "vol_a3_per_atom": 21.69,
  "formation_energy_ev_per_atom": 0.145,
  "final_energy_ev_per_atom": -5.207
}


Record 5
{
  "formula": "SrCa2Ir",
  "functional": "PBE-GGA",
  "state": "optimized geometry",
  "cell": [[-2.726, 2.726, 3.677], [2.726, -2.726, 3.677], [2.726, 2.726, -3.677]],
  "species": ["Sr", "Ca", "Ca", "Ir"],
  "frac_coords": [[0.000, 0.000, 0.000], [0.250, 0.750, 0.500], [0.500, 0.500, 0.000], [0.750, 0.250, 0.500]],
  "polymorph_energy_ev_per_atom": 0.368,
  "vol_a3_per_atom": 27.32,
  "formation_energy_ev_per_atom": 0.098,
  "final_energy_ev_per_atom": -3.538
}


Record 6
{
  "formula": "SrCaIr3",
  "functional": "PBE-GGA",
  "state": "optimized geometry",
  "cell": [[4.961, 0.000, 0.000], [0.000, 4.961, 0.000], [0.000, 0.000, 4.961]],
  "species": ["Sr", "Ca", "Ir", "Ir", "Ir"],
  "frac_coords": [[0.000, 0.000, 0.000], [0.500, 0.500, 0.500], [0.000, 0.500, 0.500], [0.500, 0.000, 0.500], [0.500, 0.500, 0.000]],
  "polymorph_energy_ev_per_atom": 0.000,
  "vol_a3_per_atom": 24.43,
  "formation_energy_ev_per_atom": 1.407,
  "final_energy_ev_per_atom": -4.646
}